(1)
Computed, not measured: a relaxed structure of Ba2LaBe2O6 at the PBE level of DFT.

a = 5.7488 Å, b = 5.7488 Å, c = 18.4429 Å
α = 90.00°, β = 90.00°, γ = 120.00°
Space group R-3m (No. 166, hexagonal axes)
Symmetry-distinct sites (fractional):
Ba  0.0000  0.0000  0.2098 (multiplicity 6)
La  0.0000  0.0000  0.0000 (multiplicity 3)
Be  0.0000  0.0000  0.4225 (multiplicity 6)
O  0.0223  0.5111  0.2455 (multiplicity 18)

Computed properties:
DFT total energy = -224.73 eV per cell
Size of the total moment = 2.67 μB/cell
Energy relative to the elements, uncorrected = -2.6305 eV/atom
Fermi-level density of states = 0.84 states/eV/atom
Calculated volume = 16.0 A^3/atom


(2)
Computed, not measured: a relaxed structure of PmSm2CrN4 at the PBE level of DFT.

a = 3.455 Å, b = 11.704 Å, c = 11.947 Å
α = 90.00°, β = 90.00°, γ = 90.00°
Space group Cmcm (No. 63)
Symmetry-distinct sites (fractional):
Pm  0.000  0.102  0.250 (multiplicity 4)
Sm  0.000  0.368  0.043 (multiplicity 8)
Cr  0.000  0.166  0.750 (multiplicity 4)
N  0.000  0.000  0.000 (multiplicity 4)
N  0.000  0.269  0.634 (multiplicity 8)
N  0.000  0.421  0.250 (multiplicity 4)

Computed properties:
DFT total energy = -263.84 eV per cell
Size of the total moment = 7.57 μB/cell
Energy relative to the elements, uncorrected = -1.1058 eV/atom
Fermi-level density of states = 0.45 states/eV/atom
Calculated volume = 15.1 A^3/atom


(3)
Computed, not measured: a relaxed structure of AlSi2Ni at the PBE level of DFT.

a = 3.677 Å, b = 3.843 Å, c = 4.509 Å
α = 90.00°, β = 108.66°, γ = 90.00°
Space group P2/m (No. 10)
Symmetry-distinct sites (fractional):
Al  0.000  0.000  0.000 (multiplicity 1)
Si  0.367  0.500  0.721 (multiplicity 2)
Ni  0.500  0.000  0.500 (multiplicity 1)

Computed properties:
DFT total energy = -20.46 eV per cell
Size of the total moment = 0.00 μB/cell
Energy relative to the elements, uncorrected = -0.0224 eV/atom
Fermi-level density of states = 0.32 states/eV/atom
Calculated volume = 15.1 A^3/atom


(4)
Computed, not measured: a relaxed structure of ErVSb3 at the PBE level of DFT.

a = 12.670 Å, b = 6.307 Å, c = 5.935 Å
α = 90.00°, β = 90.00°, γ = 90.00°
Space group Pbcm (No. 57)
Symmetry-distinct sites (fractional):
Er  0.188  0.003  0.250 (multiplicity 4)
V  0.398  0.750  0.000 (multiplicity 4)
Sb  0.002  0.750  0.000 (multiplicity 4)
Sb  0.272  0.008  0.750 (multiplicity 4)
Sb  0.434  0.105  0.250 (multiplicity 4)

Computed properties:
DFT total energy = -113.85 eV per cell
Size of the total moment = 1.89 μB/cell
Energy relative to the elements, uncorrected = -0.4828 eV/atom
Fermi-level density of states = 0.49 states/eV/atom
Calculated volume = 23.7 A^3/atom


(5)
Computed, not measured: a relaxed structure of TbY4Er4 at the PBE level of DFT.

a = 10.633 Å, b = 10.633 Å, c = 5.001 Å
α = 90.00°, β = 90.00°, γ = 90.00°
Space group I4/mmm (No. 139)
Symmetry-distinct sites (fractional):
Tb  0.000  0.000  0.000 (multiplicity 2)
Y  0.167  0.167  0.500 (multiplicity 8)
Er  0.000  0.335  0.000 (multiplicity 8)

Computed properties:
DFT total energy = -97.02 eV per cell
Formation energy = 0.23 eV per formula unit
Size of the total moment = 0.00 μB/cell
Fermi-level density of states = 1.45 states/eV/atom
Excess energy over the best structure of this formula in the dataset = 0 kJ/mol of formula units
Calculated volume = 31.4 A^3/atom


(6)
Computed, not measured: a relaxed structure of Ac2Zn4GaAu3 at the PBE level of DFT.

a = 4.459 Å, b = 4.459 Å, c = 11.066 Å
α = 90.00°, β = 90.00°, γ = 90.00°
Space group P-4m2 (No. 115)
Symmetry-distinct sites (fractional):
Ac  0.000  0.500  0.249 (multiplicity 2)
Zn  0.000  0.000  0.500 (multiplicity 1)
Zn  0.000  0.500  0.872 (multiplicity 2)
Zn  0.500  0.500  0.500 (multiplicity 1)
Ga  0.500  0.500  0.000 (multiplicity 1)
Au  0.000  0.000  0.000 (multiplicity 1)
Au  0.000  0.500  0.634 (multiplicity 2)

Computed properties:
DFT total energy = -31.54 eV per cell
Formation energy = -5.37 eV per formula unit
Size of the total moment = 0.00 μB/cell
Fermi-level density of states = 0.48 states/eV/atom
Calculated volume = 22.0 A^3/atom


(7)
Computed, not measured: a relaxed structure of Dy3PaRu4 at the PBE level of DFT.

a = 14.265 Å, b = 4.827 Å, c = 4.836 Å
α = 90.00°, β = 106.92°, γ = 90.00°
Space group C2/m (No. 12)
Symmetry-distinct sites (fractional):
Dy  0.000  0.000  0.000 (multiplicity 2)
Dy  0.248  0.000  0.245 (multiplicity 4)
Pa  0.000  0.500  0.500 (multiplicity 2)
Ru  0.116  0.500  0.144 (multiplicity 4)
Ru  0.117  0.000  0.614 (multiplicity 4)

Computed properties:
DFT total energy = -128.34 eV per cell
Formation energy = -3.77 eV per formula unit
Size of the total moment = 0.00 μB/cell
Fermi-level density of states = 0.40 states/eV/atom
Calculated volume = 19.9 A^3/atom


(8)
Computed, not measured: a relaxed structure of Tl12Hg3O5 at the PBE level of DFT.

a = 16.501 Å, b = 16.501 Å, c = 16.501 Å
α = 90.00°, β = 90.00°, γ = 90.00°
Space group Ia-3d (No. 230)
Symmetry-distinct sites (fractional):
Tl  0.034  0.057  0.649 (multiplicity 96)
Hg  0.000  0.250  0.125 (multiplicity 24)
O  0.000  0.000  0.000 (multiplicity 16)
O  0.000  0.250  0.375 (multiplicity 24)

Computed properties:
DFT total energy = -475.64 eV per cell
Size of the total moment = 0.00 μB/cell
Energy relative to the elements, uncorrected = -0.2682 eV/atom
Fermi-level density of states = 0.60 states/eV/atom
Calculated volume = 28.1 A^3/atom


(9)
Computed, not measured: a relaxed structure of CaCo at the PBE level of DFT.

a = 7.865 Å, b = 7.865 Å, c = 7.865 Å
α = 90.00°, β = 90.00°, γ = 90.00°
Space group Pm-3n (No. 223)
Symmetry-distinct sites (fractional):
Ca  0.000  0.250  0.500 (multiplicity 6)
Co  0.000  0.500  0.250 (multiplicity 6)

Computed properties:
DFT total energy = -37.14 eV per cell
Formation energy = 2.92 eV per formula unit
Size of the total moment = 5.97 μB/cell
Fermi-level density of states = 2.00 states/eV/atom
Calculated volume = 40.5 A^3/atom


(10)
Computed, not measured: a relaxed structure of BiRh at the PBE level of DFT.

a = 3.415 Å, b = 15.887 Å, c = 4.600 Å
α = 90.00°, β = 90.00°, γ = 90.00°
Space group Pmmn (No. 59, origin choice 2)
Symmetry-distinct sites (fractional):
Bi  0.250  0.085  0.122 (multiplicity 4)
Bi  0.250  0.750  0.573 (multiplicity 2)
Rh  0.250  0.250  0.909 (multiplicity 2)
Rh  0.250  0.579  0.379 (multiplicity 4)

Computed properties:
DFT total energy = -66.48 eV per cell
Formation energy = 0.15 eV per formula unit
Size of the total moment = 0.00 μB/cell
Fermi-level density of states = 0.95 states/eV/atom
Calculated volume = 20.8 A^3/atom


(11)
Computed, not measured: a relaxed structure of La2Pm6PrNd3 at the PBE level of DFT.

a = 6.386 Å, b = 11.069 Å, c = 12.181 Å
α = 90.00°, β = 100.15°, γ = 90.00°
Space group C2/m (No. 12)
Symmetry-distinct sites (fractional):
La  0.000  0.167  0.000 (multiplicity 4)
Pm  0.249  0.167  0.748 (multiplicity 8)
Pm  0.249  0.500  0.748 (multiplicity 4)
Pr  0.000  0.500  0.000 (multiplicity 2)
Nd  0.000  0.000  0.500 (multiplicity 2)
Nd  0.000  0.333  0.500 (multiplicity 4)

Computed properties:
DFT total energy = -114.56 eV per cell
Formation energy = 0.16 eV per formula unit
Size of the total moment = 0.00 μB/cell
Fermi-level density of states = 1.64 states/eV/atom
Calculated volume = 35.3 A^3/atom


(12)
Computed, not measured: a relaxed structure of SiNi2Rh at the PBE level of DFT.

a = 2.6689 Å, b = 2.6689 Å, c = 23.6450 Å
α = 90.00°, β = 90.00°, γ = 120.00°
Space group R-3m (No. 166, hexagonal axes)
Symmetry-distinct sites (fractional):
Si  0.0000  0.0000  0.0000 (multiplicity 3)
Ni  0.0000  0.0000  0.2583 (multiplicity 6)
Rh  0.0000  0.0000  0.5000 (multiplicity 3)

Computed properties:
DFT total energy = -75.05 eV per cell
Size of the total moment = 2.36 μB/cell
Energy relative to the elements, uncorrected = -0.1703 eV/atom
Fermi-level density of states = 1.14 states/eV/atom
Calculated volume = 12.2 A^3/atom


(13)
Computed, not measured: a relaxed structure of La2AlTlPt at the PBE level of DFT.

a = 5.823 Å, b = 5.823 Å, c = 4.559 Å
α = 90.00°, β = 90.00°, γ = 90.00°
Space group P4/mmm (No. 123)
Symmetry-distinct sites (fractional):
La  0.000  0.500  0.000 (multiplicity 2)
Al  0.000  0.000  0.000 (multiplicity 1)
Tl  0.500  0.500  0.500 (multiplicity 1)
Pt  0.000  0.000  0.500 (multiplicity 1)

Computed properties:
DFT total energy = -22.82 eV per cell
Formation energy = -0.82 eV per formula unit
Size of the total moment = 0.00 μB/cell
Fermi-level density of states = 1.05 states/eV/atom
Calculated volume = 30.9 A^3/atom


(14)
Computed, not measured: a relaxed structure of FeMoPd2 at the PBE level of DFT.

a = 6.165 Å, b = 6.165 Å, c = 6.165 Å
α = 90.00°, β = 90.00°, γ = 90.00°
Space group F-43m (No. 216)
Symmetry-distinct sites (fractional):
Fe  0.000  0.000  0.000 (multiplicity 4)
Mo  0.250  0.250  0.750 (multiplicity 4)
Pd  0.000  0.000  0.500 (multiplicity 4)
Pd  0.250  0.250  0.250 (multiplicity 4)

Computed properties:
DFT total energy = -115.94 eV per cell
Formation energy = 0.70 eV per formula unit
Size of the total moment = 9.16 μB/cell
Fermi-level density of states = 1.33 states/eV/atom
Excess energy over the best structure of this formula in the dataset = 45 kJ/mol of formula units
Calculated volume = 14.6 A^3/atom


(15)
Computed, not measured: a relaxed structure of ScNbCoNi at the PBE level of DFT.

a = 6.212 Å, b = 6.212 Å, c = 6.212 Å
α = 90.00°, β = 90.00°, γ = 90.00°
Space group F-43m (No. 216)
Symmetry-distinct sites (fractional):
Sc  0.000  0.000  0.000 (multiplicity 4)
Nb  0.000  0.000  0.500 (multiplicity 4)
Co  0.250  0.250  0.750 (multiplicity 4)
Ni  0.250  0.250  0.250 (multiplicity 4)

Computed properties:
DFT total energy = -120.52 eV per cell
Formation energy = -0.84 eV per formula unit
Size of the total moment = 0.36 μB/cell
Fermi-level density of states = 0.80 states/eV/atom
Calculated volume = 15.0 A^3/atom


(16)
Computed, not measured: a relaxed structure of BaGe6Pt12 at the PBE level of DFT.

a = 11.6799 Å, b = 11.6799 Å, c = 8.6207 Å
α = 90.00°, β = 90.00°, γ = 120.00°
Space group R-3m (No. 166, hexagonal axes)
Symmetry-distinct sites (fractional):
Ba  0.0000  0.0000  0.0000 (multiplicity 3)
Ge  0.0437  0.5219  0.2658 (multiplicity 18)
Pt  0.0000  0.3760  0.5000 (multiplicity 18)
Pt  0.0830  0.1661  0.3378 (multiplicity 18)

Computed properties:
DFT total energy = -329.76 eV per cell
Formation energy = -7.80 eV per formula unit
Size of the total moment = 0.00 μB/cell
Fermi-level density of states = 0.46 states/eV/atom
Calculated volume = 17.9 A^3/atom


(17)
Computed, not measured: a relaxed structure of AcPr2Dy4 at the PBE level of DFT.

a = 8.680 Å, b = 8.680 Å, c = 6.646 Å
α = 90.00°, β = 90.00°, γ = 90.00°
Space group I4/mmm (No. 139)
Symmetry-distinct sites (fractional):
Ac  0.000  0.000  0.000 (multiplicity 2)
Pr  0.000  0.500  0.250 (multiplicity 4)
Dy  0.196  0.196  0.500 (multiplicity 8)

Computed properties:
DFT total energy = -61.30 eV per cell
Formation energy = 1.43 eV per formula unit
Size of the total moment = 0.00 μB/cell
Fermi-level density of states = 1.81 states/eV/atom
Calculated volume = 35.8 A^3/atom


(18)
Computed, not measured: a relaxed structure of ZrSc2Sb at the PBE level of DFT.

a = 4.004 Å, b = 5.190 Å, c = 9.226 Å
α = 90.00°, β = 90.00°, γ = 90.00°
Space group Cmm2 (No. 35)
Symmetry-distinct sites (fractional):
Zr  0.000  0.000  0.000 (multiplicity 2)
Sc  0.000  0.000  0.526 (multiplicity 2)
Sc  0.000  0.500  0.255 (multiplicity 2)
Sb  0.000  0.500  0.765 (multiplicity 2)

Computed properties:
DFT total energy = -52.53 eV per cell
Size of the total moment = 0.00 μB/cell
Energy relative to the elements, uncorrected = -0.2323 eV/atom
Fermi-level density of states = 1.40 states/eV/atom
Calculated volume = 24.0 A^3/atom


(19)
Computed, not measured: a relaxed structure of BaFe3B at the PBE level of DFT.

a = 4.188 Å, b = 4.188 Å, c = 4.188 Å
α = 90.00°, β = 90.00°, γ = 90.00°
Space group Pm-3m (No. 221)
Symmetry-distinct sites (fractional):
Ba  0.000  0.000  0.000 (multiplicity 1)
Fe  0.000  0.500  0.500 (multiplicity 3)
B  0.500  0.500  0.500 (multiplicity 1)

Computed properties:
DFT total energy = -30.88 eV per cell
Formation energy = 3.11 eV per formula unit
Size of the total moment = 4.89 μB/cell
Fermi-level density of states = 1.59 states/eV/atom
Excess energy over the best structure of this formula in the dataset = 0 kJ/mol of formula units
Calculated volume = 14.7 A^3/atom


(20)
Computed, not measured: a relaxed structure of ErSc3Al8 at the PBE level of DFT.

a = 5.3975 Å, b = 5.3975 Å, c = 26.5599 Å
α = 90.00°, β = 90.00°, γ = 120.00°
Space group R3m (No. 160, hexagonal axes)
Symmetry-distinct sites (fractional):
Er  0.0000  0.0000  0.0000 (multiplicity 3)
Sc  0.0000  0.0000  0.1256 (multiplicity 3)
Sc  0.0000  0.0000  0.5004 (multiplicity 3)
Sc  0.0000  0.0000  0.6235 (multiplicity 3)
Al  0.0000  0.0000  0.3123 (multiplicity 3)
Al  0.0000  0.0000  0.8127 (multiplicity 3)
Al  0.0006  0.5003  0.0635 (multiplicity 9)
Al  0.1671  0.3341  0.8949 (multiplicity 9)

Computed properties:
DFT total energy = -178.05 eV per cell
Formation energy = -5.85 eV per formula unit
Size of the total moment = 0.00 μB/cell
Fermi-level density of states = 0.74 states/eV/atom
Excess energy over the best structure of this formula in the dataset = 0 kJ/mol of formula units
Calculated volume = 18.6 A^3/atom